# Hg2Pd9Pb

A relaxed Hg2Pd9Pb crystal (PBE, Alexandria via LeMat-Bulk).

abc: 4.0730 4.0730 12.2108
angles: 90.00 90.00 90.00
Atoms (fractional coordinates):
Pd  0.5000  0.5000  0.6662
Pd  0.0000  0.5000  0.5000
Pd  0.5000  0.0000  0.1686
Pd  0.5000  0.0000  0.5000
Pd  0.0000  0.5000  0.8314
Pd  0.5000  0.0000  0.8314
Pd  0.5000  0.5000  0.0000
Pd  0.5000  0.5000  0.3338
Pd  0.0000  0.5000  0.1686
Hg  0.0000  0.0000  0.3351
Hg  0.0000  0.0000  0.6649
Pb  0.0000  0.0000  0.0000

Output
**Size of the total moment**: 0.000 μB/f.u.
**ρ**: 12.84 Mg/m³
**ΔH_f (0 K)**: -152.9 meV per atom